Record 1
Here is a relaxed SrMg2GaPd4 crystal from the Alexandria database. Energies are from PBE-GGA.

Cell: 4.4553 4.4553 27.2066 Å, 90.00 90.00 120.00°
With the nearest neighbours (Å) after each atom.
Space group R-3m (No. 166, hexagonal axes)
One atom of each set of equivalent atoms:
Sr1 0.0000 0.0000 0.0000  8 Pd 3.27-3.65
Mg1 0.0000 0.0000 0.2354  7 Pd 2.65-2.76
Ga1 0.0000 0.0000 0.5000  8 Pd 2.52-2.72
Pd1 0.0000 0.0000 0.1343  3 Ga 2.72, 4 Mg 2.75-2.76
Pd2 0.0000 0.0000 0.4075  1 Ga 2.52, 3 Mg 2.65

Values from the calculation:
**Energy of formation**: -629 meV/atom

***

Record 2
Here is a relaxed Sr2MgGa5Pd2 crystal from the Alexandria database. Energies are from PBE-GGA.

Cell: 10.1610 10.1610 4.1210 Å, 90.00 90.00 90.00°
With the nearest neighbours (Å) after each atom.
Space group P4/mbm (No. 127)
One atom of each set of equivalent atoms:
Sr1 0.1861 0.3139 0.0000  3 Pd 2.95-3.09
Mg1 0.0000 0.0000 0.0000  8 Ga 3.00
Ga1 0.0000 0.5000 0.5000  4 Pd 2.58
Ga2 0.0544 0.7931 0.5000  2 Pd 2.84, 2 Mg 3.00, 3 Ga 3.03-3.07
Pd1 0.1083 0.6083 0.0000  6 Ga 2.58-2.84

Values from the calculation:
**Energy of formation**: -455 meV/atom

***

Record 3
Here is a relaxed Mg2TaGaPd crystal from the Alexandria database. Energies are from PBE-GGA.

Cell: 4.7770 4.7770 4.5741 Å, 90.00 90.00 90.00°
With the nearest neighbours (Å) after each atom.
Space group P4/mmm (No. 123)
One atom of each set of equivalent atoms:
Mg1 0.0000 0.5000 0.0000  2 Ga 2.39
Ta1 0.0000 0.0000 0.5000  8 Mg 3.31, 4 Pd 3.38
Ga1 0.5000 0.5000 0.0000  2 Pd 2.29, 4 Mg 2.39
Pd1 0.5000 0.5000 0.5000  2 Ga 2.29

Values from the calculation:
**Energy of formation**: 800 meV/atom

***

Record 4
Here is a relaxed TbMg2GaPd2 crystal from the Alexandria database. Energies are from PBE-GGA.

Cell: 5.1235 5.1235 10.4770 Å, 90.00 90.00 90.00°
With the nearest neighbours (Å) after each atom.
Space group I4/mmm (No. 139)
One atom of each set of equivalent atoms:
Tb1 0.0000 0.0000 0.0000  2 Pd 2.83
Mg1 0.0000 0.5000 0.2500  4 Pd 2.57
Ga1 0.0000 0.0000 0.5000  2 Pd 2.41
Pd1 0.0000 0.0000 0.2700  1 Ga 2.41, 4 Mg 2.57

Values from the calculation:
**Energy of formation**: -330 meV/atom

***

Record 5
Here is a relaxed TbMg2GaPd4 crystal from the Alexandria database. Energies are from PBE-GGA.

Cell: 4.5912 4.5912 22.8234 Å, 90.00 90.00 120.00°
With the nearest neighbours (Å) after each atom.
Space group R-3m (No. 166, hexagonal axes)
One atom of each set of equivalent atoms:
Tb1 0.0000 0.0000 0.0000  8 Pd 2.93-2.94
Mg1 0.0000 0.0000 0.2460  7 Pd 2.68-2.81
Ga1 0.0000 0.0000 0.5000  8 Pd 2.55-2.79
Pd1 0.0000 0.0000 0.1286  4 Mg 2.68-2.81, 3 Ga 2.79, 1 Tb 2.94
Pd2 0.0000 0.0000 0.3883  1 Ga 2.55, 3 Mg 2.75

Values from the calculation:
**Energy of formation**: -731 meV/atom

***

Record 6
Here is a relaxed TbMgGa2Pd5 crystal from the Alexandria database. Energies are from PBE-GGA.

Cell: 4.1572 4.1572 9.2771 Å, 90.00 90.00 90.00°
With the nearest neighbours (Å) after each atom.
Space group P4/mmm (No. 123)
One atom of each set of equivalent atoms:
Tb1 0.0000 0.0000 0.0000  12 Pd 2.94
Mg1 0.0000 0.0000 0.5000  8 Ga 3.18, 8 Pd 3.29
Ga1 0.5000 0.5000 0.3691  1 Ga 2.43, 4 Pd 2.47
Pd1 0.0000 0.5000 0.2247  2 Ga 2.47
Pd2 0.5000 0.5000 0.0000  4 Tb 2.94, 8 Pd 2.94

Values from the calculation:
**Energy of formation**: -680 meV/atom

***

Record 7
Here is a relaxed TbMgGaPd crystal from the Alexandria database. Energies are from PBE-GGA.

Cell: 6.8253 6.8253 6.8253 Å, 90.00 90.00 90.00°
With the nearest neighbours (Å) after each atom.
Space group F-43m (No. 216)
One atom of each set of equivalent atoms:
Tb1 0.0000 0.0000 0.0000  4 Ga 2.96, 4 Pd 2.96
Mg1 0.0000 0.0000 0.5000  4 Pd 2.96, 4 Ga 2.96
Ga1 0.2500 0.2500 0.7500  4 Tb 2.96, 4 Mg 2.96
Pd1 0.2500 0.2500 0.2500  4 Tb 2.96, 4 Mg 2.96

Values from the calculation:
**Energy of formation**: -642 meV/atom

***

Record 8
Here is a relaxed TbMg2Ga2Pd crystal from the Alexandria database. Energies are from PBE-GGA.

Cell: 5.1518 5.1518 10.7422 Å, 90.00 90.00 90.00°
With the nearest neighbours (Å) after each atom.
Space group I4/mmm (No. 139)
One atom of each set of equivalent atoms:
Tb1 0.0000 0.0000 0.0000  2 Ga 2.98
Mg1 0.0000 0.5000 0.2500  4 Ga 2.59
Ga1 0.0000 0.0000 0.2775  1 Pd 2.39, 4 Mg 2.59
Pd1 0.0000 0.0000 0.5000  2 Ga 2.39

Values from the calculation:
**Energy of formation**: 6 meV/atom

***

Record 9
Here is a relaxed Tb2MgGa3Pd4 crystal from the Alexandria database. Energies are from PBE-GGA.

Cell: 4.0440 4.0440 11.6234 Å, 90.00 90.00 90.00°
With the nearest neighbours (Å) after each atom.
Space group P-4m2 (No. 115)
One atom of each set of equivalent atoms:
Tb1 0.0000 0.5000 0.2422  8 Pd 3.12-3.47, 4 Ga 3.13
Mg1 0.0000 0.0000 0.5000  4 Pd 2.68, 4 Ga 2.86
Ga1 0.0000 0.5000 0.8678  5 Pd 2.52-2.54
Ga2 0.5000 0.5000 0.5000  4 Pd 2.68, 4 Mg 2.86
Pd1 0.0000 0.0000 0.0000  4 Ga 2.54
Pd2 0.0000 0.5000 0.6509  3 Ga 2.52-2.68, 2 Mg 2.68
Pd3 0.5000 0.5000 0.0000  4 Ga 2.54

Values from the calculation:
**Energy of formation**: -767 meV/atom

***

Record 10
Here is a relaxed Mg2GaTePd crystal from the Alexandria database. Energies are from PBE-GGA.

Cell: 4.8865 4.8865 5.4936 Å, 90.00 90.00 90.00°
With the nearest neighbours (Å) after each atom.
Space group P4/mmm (No. 123)
One atom of each set of equivalent atoms:
Mg1 0.0000 0.5000 0.0000  2 Ga 2.44
Ga1 0.0000 0.0000 0.0000  4 Mg 2.44
Te1 0.0000 0.0000 0.5000  2 Ga 2.75
Pd1 0.5000 0.5000 0.5000  4 Te 3.46, 8 Mg 3.68

Values from the calculation:
**E_form (uncorrected)**: 0.4025 eV per atom

***

Record 11
Here is a relaxed ThMgGa2Pd2 crystal from the Alexandria database. Energies are from PBE-GGA.

Cell: 4.4470 4.4470 6.7947 Å, 90.00 90.00 120.00°
With the nearest neighbours (Å) after each atom.
Space group P-3m1 (No. 164)
One atom of each set of equivalent atoms:
Th1 0.0000 0.0000 0.0000  6 Ga 3.22, 6 Pd 3.26, 2 Mg 3.40
Mg1 0.0000 0.0000 0.5000  6 Pd 2.92, 6 Ga 2.95
Ga1 0.3333 0.6667 0.7132  4 Pd 2.57-2.84
Pd1 0.3333 0.6667 0.2956  4 Ga 2.57-2.84

Values from the calculation:
**Energy of formation**: -694 meV/atom

***

Record 12
Here is a relaxed ThMgGa2Pd5 crystal from the Alexandria database. Energies are from PBE-GGA.

Cell: 4.1960 4.1960 9.3982 Å, 90.00 90.00 90.00°
With the nearest neighbours (Å) after each atom.
Space group P4/mmm (No. 123)
One atom of each set of equivalent atoms:
Th1 0.0000 0.0000 0.0000  12 Pd 2.97-2.98
Mg1 0.0000 0.0000 0.5000  8 Ga 3.20, 8 Pd 3.33
Ga1 0.5000 0.5000 0.3719  1 Ga 2.41, 4 Pd 2.51
Pd1 0.0000 0.5000 0.2253  2 Ga 2.51
Pd2 0.5000 0.5000 0.0000  4 Th 2.97, 8 Pd 2.98

Values from the calculation:
**Energy of formation**: -684 meV/atom

***

Record 13
Here is a relaxed ThMgGa2Pd4 crystal from the Alexandria database. Energies are from PBE-GGA.

Cell: 4.3620 4.3620 26.0529 Å, 90.00 90.00 120.00°
With the nearest neighbours (Å) after each atom.
Space group R-3m (No. 166, hexagonal axes)
One atom of each set of equivalent atoms:
Th1 0.0000 0.0000 0.0000  8 Pd 3.04-3.39
Mg1 0.0000 0.0000 0.5000  8 Pd 2.65-2.69
Ga1 0.0000 0.0000 0.2386  7 Pd 2.63-2.82
Pd1 0.0000 0.0000 0.1302  4 Ga 2.68-2.82, 3 Mg 2.69
Pd2 0.0000 0.0000 0.3984  3 Ga 2.63, 1 Mg 2.65

Values from the calculation:
**Energy of formation**: -735 meV/atom

***

Record 14
Here is a relaxed Mg2TlGaPd crystal from the Alexandria database. Energies are from PBE-GGA.

Cell: 5.0861 5.0861 4.7804 Å, 90.00 90.00 90.00°
With the nearest neighbours (Å) after each atom.
Space group P4/mmm (No. 123)
One atom of each set of equivalent atoms:
Mg1 0.0000 0.5000 0.0000  2 Pd 2.54
Tl1 0.0000 0.0000 0.5000  8 Mg 3.49, 4 Ga 3.60
Ga1 0.5000 0.5000 0.5000  2 Pd 2.39
Pd1 0.5000 0.5000 0.0000  2 Ga 2.39, 4 Mg 2.54

Values from the calculation:
**Energy of formation**: -216 meV/atom

***

Record 15
Here is a relaxed MgTlGa2Pd crystal from the Alexandria database. Energies are from PBE-GGA.

Cell: 4.8549 4.8549 5.0696 Å, 90.00 90.00 90.00°
With the nearest neighbours (Å) after each atom.
Space group P4/mmm (No. 123)
One atom of each set of equivalent atoms:
Mg1 0.0000 0.0000 0.0000  2 Pd 2.53
Tl1 0.5000 0.5000 0.0000  4 Mg 3.43, 8 Ga 3.51
Ga1 0.0000 0.5000 0.5000  2 Pd 2.43
Pd1 0.0000 0.0000 0.5000  4 Ga 2.43, 2 Mg 2.53

Values from the calculation:
**Energy of formation**: -182 meV/atom

***

Record 16
Here is a relaxed Tm2MgGa2Pd5 crystal from the Alexandria database. Energies are from PBE-GGA.

Cell: 9.7434 9.7434 3.7854 Å, 90.00 90.00 90.00°
With the nearest neighbours (Å) after each atom.
Space group P4/mbm (No. 127)
One atom of each set of equivalent atoms:
Tm1 0.1743 0.3257 0.0000  3 Ga 2.78-2.95, 2 Pd 3.06
Mg1 0.0000 0.0000 0.0000  8 Pd 2.84
Ga1 0.1243 0.6243 0.0000  6 Pd 2.55-2.57, 1 Tm 2.78
Pd1 0.0000 0.5000 0.5000  4 Ga 2.55
Pd2 0.0659 0.7925 0.5000  2 Ga 2.57, 2 Mg 2.84

Values from the calculation:
**Energy of formation**: -764 meV/atom

***

Record 17
Here is a relaxed TmMg2GaPd4 crystal from the Alexandria database. Energies are from PBE-GGA.

Cell: 4.5783 4.5783 22.4382 Å, 90.00 90.00 120.00°
With the nearest neighbours (Å) after each atom.
Space group R-3m (No. 166, hexagonal axes)
One atom of each set of equivalent atoms:
Tm1 0.0000 0.0000 0.0000  8 Pd 2.88
Mg1 0.0000 0.0000 0.2473  7 Pd 2.67-2.81
Ga1 0.0000 0.0000 0.5000  8 Pd 2.59-2.78
Pd1 0.0000 0.0000 0.1281  4 Mg 2.67-2.81, 3 Ga 2.78, 1 Tm 2.88
Pd2 0.0000 0.0000 0.3847  1 Ga 2.59, 3 Mg 2.76, 3 Tm 2.88

Values from the calculation:
**Energy of formation**: -761 meV/atom

***

Record 18
Here is a relaxed Tm2MgGa3Pd4 crystal from the Alexandria database. Energies are from PBE-GGA.

Cell: 3.9991 3.9991 11.6585 Å, 90.00 90.00 90.00°
With the nearest neighbours (Å) after each atom.
Space group P-4m2 (No. 115)
One atom of each set of equivalent atoms:
Tm1 0.0000 0.5000 0.2431  4 Pd 3.08, 4 Ga 3.10
Mg1 0.0000 0.0000 0.5000  4 Pd 2.68, 4 Ga 2.83
Ga1 0.0000 0.5000 0.8669  5 Pd 2.50-2.53
Ga2 0.5000 0.5000 0.5000  4 Pd 2.68, 4 Mg 2.83
Pd1 0.0000 0.0000 0.0000  4 Ga 2.53, 4 Pd 2.83
Pd2 0.0000 0.5000 0.6528  3 Ga 2.50-2.68, 2 Mg 2.68
Pd3 0.5000 0.5000 0.0000  4 Ga 2.53, 4 Pd 2.83

Values from the calculation:
**Energy of formation**: -751 meV/atom

***

Record 19
Here is a relaxed Tm2MgGa4Pd3 crystal from the Alexandria database. Energies are from PBE-GGA.

Cell: 3.9679 3.9679 11.9212 Å, 90.00 90.00 90.00°
With the nearest neighbours (Å) after each atom.
Space group P-4m2 (No. 115)
One atom of each set of equivalent atoms:
Tm1 0.0000 0.5000 0.2398  4 Pd 3.04, 4 Ga 3.10
Mg1 0.0000 0.0000 0.5000  4 Ga 2.66, 4 Pd 2.81
Ga1 0.0000 0.0000 0.0000  4 Pd 2.61, 4 Ga 2.81
Ga2 0.0000 0.5000 0.6489  3 Pd 2.49-2.66, 2 Mg 2.66
Ga3 0.5000 0.5000 0.0000  4 Pd 2.61, 4 Ga 2.81
Pd1 0.0000 0.5000 0.8578  5 Ga 2.49-2.61
Pd2 0.5000 0.5000 0.5000  4 Ga 2.66, 4 Mg 2.81

Values from the calculation:
**Energy of formation**: -697 meV/atom

***

Record 20
Here is a relaxed TmMgGaPd crystal from the Alexandria database. Energies are from PBE-GGA.

Cell: 6.7526 6.7526 6.7526 Å, 90.00 90.00 90.00°
With the nearest neighbours (Å) after each atom.
Space group F-43m (No. 216)
One atom of each set of equivalent atoms:
Tm1 0.0000 0.0000 0.0000  4 Pd 2.92, 4 Ga 2.92
Mg1 0.0000 0.0000 0.5000  4 Ga 2.92, 4 Pd 2.92
Ga1 0.2500 0.2500 0.2500  4 Tm 2.92, 4 Mg 2.92
Pd1 0.2500 0.2500 0.7500  4 Mg 2.92, 4 Tm 2.92

Values from the calculation:
**Energy of formation**: -650 meV/atom

***

Record 21
Here is a relaxed TmMgGa2Pd4 crystal from the Alexandria database. Energies are from PBE-GGA.

Cell: 4.5558 4.5558 22.0626 Å, 90.00 90.00 120.00°
With the nearest neighbours (Å) after each atom.
Space group R-3m (No. 166, hexagonal axes)
One atom of each set of equivalent atoms:
Tm1 0.0000 0.0000 0.0000  8 Pd 2.82
Mg1 0.0000 0.0000 0.5000  8 Pd 2.67-2.77
Ga1 0.0000 0.0000 0.2492  8 Pd 2.67-2.86
Pd1 0.0000 0.0000 0.1279  4 Ga 2.67-2.80, 3 Mg 2.77, 1 Tm 2.82
Pd2 0.0000 0.0000 0.3788  1 Mg 2.67, 4 Ga 2.77-2.86, 3 Tm 2.82

Values from the calculation:
**Energy of formation**: -766 meV/atom

***

Record 22
Here is a relaxed YMgGa2Pd5 crystal from the Alexandria database. Energies are from PBE-GGA.

Cell: 4.1602 4.1602 9.2667 Å, 90.00 90.00 90.00°
With the nearest neighbours (Å) after each atom.
Space group P4/mmm (No. 123)
One atom of each set of equivalent atoms:
Y1 0.0000 0.0000 0.0000  12 Pd 2.94-2.95
Mg1 0.0000 0.0000 0.5000  8 Ga 3.18, 8 Pd 3.29
Ga1 0.5000 0.5000 0.3689  1 Ga 2.43, 4 Pd 2.47
Pd1 0.0000 0.5000 0.2250  2 Ga 2.47
Pd2 0.5000 0.5000 0.0000  4 Y 2.94, 8 Pd 2.95

Values from the calculation:
**Energy of formation**: -673 meV/atom

***

Record 23
Here is a relaxed YMgGaPd crystal from the Alexandria database. Energies are from PBE-GGA.

Cell: 6.8191 6.8191 6.8191 Å, 90.00 90.00 90.00°
With the nearest neighbours (Å) after each atom.
Space group F-43m (No. 216)
One atom of each set of equivalent atoms:
Y1 0.0000 0.0000 0.0000  4 Pd 2.95, 4 Ga 2.95
Mg1 0.0000 0.0000 0.5000  4 Ga 2.95, 4 Pd 2.95
Ga1 0.2500 0.2500 0.7500  4 Mg 2.95, 4 Y 2.95
Pd1 0.2500 0.2500 0.2500  4 Mg 2.95, 4 Y 2.95

Values from the calculation:
**Energy of formation**: -646 meV/atom

***

Record 24
Here is a relaxed Y2MgGa3Pd4 crystal from the Alexandria database. Energies are from PBE-GGA.

Cell: 4.0427 4.0427 11.6086 Å, 90.00 90.00 90.00°
With the nearest neighbours (Å) after each atom.
Space group P-4m2 (No. 115)
One atom of each set of equivalent atoms:
Y1 0.0000 0.5000 0.2420  8 Pd 3.12-3.46, 4 Ga 3.13
Mg1 0.0000 0.0000 0.5000  4 Pd 2.67, 4 Ga 2.86
Ga1 0.0000 0.5000 0.8676  5 Pd 2.52-2.54
Ga2 0.5000 0.5000 0.5000  4 Pd 2.67, 4 Mg 2.86
Pd1 0.0000 0.0000 0.0000  4 Ga 2.54
Pd2 0.0000 0.5000 0.6508  3 Ga 2.52-2.67, 2 Mg 2.67
Pd3 0.5000 0.5000 0.0000  4 Ga 2.54

Values from the calculation:
**Energy of formation**: -771 meV/atom

***

no.,E_tot (eV per cell)
1,-101.10
2,-70.07
3,-19.26
4,-46.43
5,-112.39
6,-44.36
7,-68.05
8,-38.06
9,-48.38
10,-12.54
11,-29.62
12,-47.19
13,-125.16
14,-14.86
15,-16.12
16,-100.39
17,-112.65
18,-47.90
19,-45.19
20,-67.55
21,-117.05
22,-46.13
23,-75.46
24,-52.09